[1]
Here is crystalline Ru2PbC2 at its relaxed geometry from the Alexandria database. Energies are from GGA-PBE.

total energy = -36.6 eV per formula unit
energy above the most stable polymorph in this dataset = 0 meV/atom
energy of formation from the pure elements = 4.14 eV per formula unit

Geometry as CIF:
```
data_Ru2PbC2
_cell_length_a 3.430
_cell_length_b 3.430
_cell_length_c 12.408
_cell_angle_alpha 90.00
_cell_angle_beta 90.00
_cell_angle_gamma 90.00
_space_group_name_H-M_alt 'I 4/m m m'
_space_group_IT_number 139
_space_group_name_Hall '-I 4 2'
loop_
_atom_site_label
_atom_site_type_symbol
_atom_site_fract_x
_atom_site_fract_y
_atom_site_fract_z
_atom_site_occupancy
Ru1 Ru 0.000 0.000 0.164 1
Pb1 Pb 0.000 0.000 0.500 1
C1 C 0.000 0.500 0.250 1
```

[2]
Here is crystalline LaDy2TlN at its relaxed geometry from the Alexandria database. Energies are from GGA-PBE.

total energy = -29.2 eV per formula unit

Geometry as CIF:
```
data_LaDy2TlN
_cell_length_a 4.876
_cell_length_b 4.876
_cell_length_c 5.071
_cell_angle_alpha 90.00
_cell_angle_beta 90.00
_cell_angle_gamma 90.00
_space_group_name_H-M_alt 'P 4/m m m'
_space_group_IT_number 123
_space_group_name_Hall '-P 4 2'
loop_
_atom_site_label
_atom_site_type_symbol
_atom_site_fract_x
_atom_site_fract_y
_atom_site_fract_z
_atom_site_occupancy
La1 La 0.000 0.000 0.000 1
Dy1 Dy 0.000 0.500 0.500 1
Tl1 Tl 0.500 0.500 0.000 1
N1 N 0.000 0.000 0.500 1
```

[3]
Here is crystalline USi2Ni3 at its relaxed geometry from the Alexandria database. Energies are from GGA-PBE.

total energy = -42.4 eV per formula unit

Geometry as CIF:
```
data_USi2Ni3
_cell_length_a 14.498
_cell_length_b 3.748
_cell_length_c 6.981
_cell_angle_alpha 90.00
_cell_angle_beta 115.10
_cell_angle_gamma 90.00
_space_group_name_H-M_alt 'C 1 2/m 1'
_space_group_IT_number 12
_space_group_name_Hall '-C 2y'
loop_
_atom_site_label
_atom_site_type_symbol
_atom_site_fract_x
_atom_site_fract_y
_atom_site_fract_z
_atom_site_occupancy
U1 U 0.154 0.000 0.066 1
Si1 Si 0.022 0.500 0.180 1
Si2 Si 0.188 0.000 0.671 1
Ni1 Ni 0.038 0.000 0.369 1
Ni2 Ni 0.093 0.500 0.676 1
Ni3 Ni 0.184 0.500 0.445 1
```

[4]
Here is crystalline Sm3Ho6ErSc2 at its relaxed geometry from the Alexandria database. Energies are from GGA-PBE.

total energy = -58.4 eV per formula unit
energy of formation from the pure elements = 0.46 eV per formula unit

Geometry as CIF:
```
data_Sm3Ho6ErSc2
_cell_length_a 6.086
_cell_length_b 10.532
_cell_length_c 11.591
_cell_angle_alpha 90.00
_cell_angle_beta 100.08
_cell_angle_gamma 90.00
_space_group_name_H-M_alt 'C 1 2/m 1'
_space_group_IT_number 12
_space_group_name_Hall '-C 2y'
loop_
_atom_site_label
_atom_site_type_symbol
_atom_site_fract_x
_atom_site_fract_y
_atom_site_fract_z
_atom_site_occupancy
Sm1 Sm 0.000 0.000 0.000 1
Sm2 Sm 0.000 0.333 0.000 1
Ho1 Ho 0.245 0.000 0.742 1
Ho2 Ho 0.249 0.332 0.742 1
Er1 Er 0.000 0.500 0.500 1
Sc1 Sc 0.000 0.167 0.500 1
```